Below is a relaxed structure of Li2AgPdAu2, with properties calculated at the PBE level.

Output
formation energy: -0.3534 eV per atom
crystal system: orthorhombic

Cell: 4.2089 5.4918 8.1722 Å, 90.00 90.00 90.00°
Element x y z (fractional)
Au: 0.0000 0.3335 0.1937
Au: 0.0000 0.8335 0.8063
Au: 0.5000 0.0689 0.0149
Au: 0.5000 0.5689 0.9851
Li: 0.5000 0.1780 0.3483
Li: 0.0000 0.8315 0.1468
Li: 0.0000 0.3315 0.8532
Li: 0.5000 0.6780 0.6517
Pd: 0.0000 0.9618 0.4727
Pd: 0.0000 0.4618 0.5273
Ag: 0.5000 0.6719 0.3307
Ag: 0.5000 0.1719 0.6693

=====

Below is a relaxed structure of CsZn2HgPt, with properties calculated at the PBE level.

Output
formation energy: -0.2610 eV per atom
crystal system: tetragonal

Cell: 5.0587 5.0587 5.4540 Å, 90.00 90.00 90.00°
Element x y z (fractional)
Pt: 0.0000 0.0000 0.0000
Hg: 0.0000 0.0000 0.5000
Cs: 0.5000 0.5000 0.5000
Zn: 0.5000 0.0000 0.0000
Zn: 0.0000 0.5000 0.0000

=====

Below is a relaxed structure of Sc2MoIr, with properties calculated at the PBE level.

Output
formation energy: 0.1457 eV per atom
crystal system: tetragonal

Cell: 7.3764 7.3764 5.9124 Å, 51.41 51.41 90.00°
Element x y z (fractional)
Mo: 0.5000 0.5000 0.0000
Mo: 0.2500 0.7500 0.5000
Sc: 0.0997 0.6250 0.2500
Sc: 0.3750 0.3497 0.7500
Sc: 0.8750 0.9003 0.7500
Sc: 0.6503 0.1250 0.2500
Ir: 0.7500 0.2500 0.5000
Ir: 0.0000 0.0000 0.0000

=====

Below is a relaxed structure of CrInCu2, with properties calculated at the PBE level.

Output
formation energy: 0.4886 eV per atom
crystal system: trigonal

Cell: 8.5888 8.5888 8.5888 Å, 19.98 19.98 19.98°
Each line ends with the local moment (μB).
Element x y z (fractional)
Cu: 0.0049 0.0049 0.0049  0.06
Cu: 0.4951 0.4951 0.4951  0.06
In: 0.2500 0.2500 0.2500  -0.02
Cr: 0.7500 0.7500 0.7500  3.17

=====

Below is a relaxed structure of GdTcSn2, with properties calculated at the PBE level.

Output
formation energy: -0.2345 eV per atom
crystal system: trigonal

Cell: 4.5770 4.5770 5.6810 Å, 66.24 66.24 60.00°
Each line ends with the local moment (μB).
Element x y z (fractional)
Sn: 0.7741 0.7741 0.6776  -0.01
Sn: 0.2259 0.2259 0.3224  -0.01
Tc: 0.5000 0.5000 0.5000  -0.11
Gd: 0.0000 0.0000 0.0000  6.97

=====

Below is a relaxed structure of K4Sm3HfO8, with properties calculated at the PBE level.

Output
raw formation energy: -41.51 eV per formula unit
crystal system: trigonal

Cell: 7.0001 7.4756 7.0002 Å, 117.92 120.00 90.00°
Element x y z (fractional)
K: 0.0000 0.0000 0.0000
K: 0.5000 0.0000 0.0000
K: 0.5000 0.0000 0.5000
K: 0.0000 0.0000 0.5000
O: 0.7596 0.6829 0.9713
O: 0.7883 0.3171 0.5767
O: 0.2117 0.6829 0.9713
O: 0.7883 0.3171 0.0287
O: 0.2671 0.3013 0.5342
O: 0.7329 0.6987 0.4658
O: 0.2117 0.6829 0.4233
O: 0.2404 0.3171 0.0287
Sm: 0.5000 0.5000 0.0000
Sm: 0.5000 0.5000 0.5000
Sm: 0.0000 0.5000 0.5000
Hf: 0.0000 0.5000 0.0000

=====

Below is a relaxed structure of BaTa2P2, with properties calculated at the PBE level.

Output
formation energy: -0.3145 eV per atom
crystal system: tetragonal

Cell: 4.8262 4.8262 5.7556 Å, 65.21 65.21 90.00°
Element x y z (fractional)
P: 0.2500 0.7500 0.5000
P: 0.7500 0.2500 0.5000
Ta: 0.3558 0.3558 0.2884
Ta: 0.6442 0.6442 0.7116
Ba: 0.0000 0.0000 0.0000

=====

Below is a relaxed structure of Ba2CaTl2, with properties calculated at the PBE level.

Output
formation energy: -0.3205 eV per atom
crystal system: monoclinic

Cell: 6.0112 6.1617 12.5534 Å, 81.78 76.15 60.80°
Element x y z (fractional)
Tl: 0.9216 0.0318 0.1250
Tl: 0.4779 0.6557 0.3885
Tl: 0.0784 0.9682 0.8750
Tl: 0.5221 0.3443 0.6115
Ba: 0.1958 0.3281 0.2803
Ba: 0.3900 0.3161 0.9039
Ba: 0.6100 0.6839 0.0961
Ba: 0.8042 0.6719 0.7197
Ca: 0.8091 0.9825 0.3993
Ca: 0.1909 0.0175 0.6007

=====

> Number 7 is which compound?

BaTa2P2